A geometry-optimized MgCo2Pt structure, computed with GGA-PBE.

- uncorrected energy (eV per atom) = -5.260
- density of states at the Fermi level (states/eV per cell) = 12.2
- space-group type = No. 122
- magnetic moment (μB per cell) = 7.31

Unit cell a=9.573 b=9.573 c=9.573 alpha=158.38 beta=158.38 gamma=30.76
Atoms (fractional coordinates):
Mg  0.000  0.000  0.000
Mg  0.750  0.250  0.500
Co  0.131  0.625  0.006
Co  0.375  0.381  0.506
Co  0.619  0.125  0.994
Co  0.875  0.869  0.494
Pt  0.250  0.750  0.500
Pt  0.500  0.500  0.000